# 1
A plane-wave DFT calculation with GGA-PBE was carried out for crystalline IrPtO3 at its relaxed geometry.

a b c (Å): 5.2355 5.2355 14.6571
angles (deg): 90.00 90.00 120.00
Space group R-3c (No. 167, hexagonal axes)
Symmetry-distinct sites (fractional):
Ir 0.0000 0.0000 0.0000 x6
Pt 0.0000 0.0000 0.2500 x6
O 0.0000 0.3773 0.2500 x18

Values from the calculation:
final energy	-179.819	eV for the cell shown


# 2
A plane-wave DFT calculation with GGA-PBE was carried out for crystalline Sr2IrPtO2 at its relaxed geometry.

a b c (Å): 3.8066 4.0474 7.2664
angles (deg): 90.00 90.00 90.00
Space group Pmmm (No. 47)
Symmetry-distinct sites (fractional):
Sr 0.0000 0.0000 0.2459 x2
Ir 0.5000 0.5000 0.5000 x1
Pt 0.5000 0.5000 0.0000 x1
O 0.0000 0.5000 0.5000 x1
O 0.5000 0.0000 0.0000 x1

Values from the calculation:
final energy	-35.472	eV for the cell shown


# 3
A plane-wave DFT calculation with GGA-PBE was carried out for crystalline Rb2IrO4 at its relaxed geometry.

a b c (Å): 7.2548 7.2548 10.3084
angles (deg): 90.00 90.00 90.00
Space group I4_1/amd (No. 141, origin choice 2)
Symmetry-distinct sites (fractional):
Rb 0.0000 0.0000 0.0000 x8
Ir 0.0000 0.2500 0.3750 x4
O 0.0000 0.0456 0.2704 x16

Values from the calculation:
final energy	-148.591	eV for the cell shown


Please write out number 2 again, unchanged.
A plane-wave DFT calculation with GGA-PBE was carried out for crystalline Sr2IrPtO2 at its relaxed geometry.

a b c (Å): 3.8066 4.0474 7.2664
angles (deg): 90.00 90.00 90.00
Space group Pmmm (No. 47)
Symmetry-distinct sites (fractional):
Sr 0.0000 0.0000 0.2459 x2
Ir 0.5000 0.5000 0.5000 x1
Pt 0.5000 0.5000 0.0000 x1
O 0.0000 0.5000 0.5000 x1
O 0.5000 0.0000 0.0000 x1

Values from the calculation:
final energy	-35.472	eV for the cell shown


Which of these has the lowest final energy?
IrPtO3